This record from OQMD describes crystalline NaZnNO at its relaxed geometry. The functional is PBE-GGA.

POSCAR file:
```
NaZnNO
1.0
5.992 0.000 0.000
0.000 6.485 0.000
0.000 0.000 4.861
Na Zn N O
4 4 4 4
Cartesian
0.678 1.020 0.000
2.318 1.020 2.430
3.674 5.465 0.000
5.313 5.465 2.430
0.840 4.029 0.030
2.156 4.029 2.460
3.836 2.456 0.030
5.151 2.456 2.460
1.477 5.526 1.253
1.519 5.526 3.684
4.473 0.960 1.253
4.515 0.960 3.684
0.847 2.753 1.526
2.149 2.753 3.956
3.843 3.733 1.526
5.145 3.733 3.956
```

Calculated density in Mg/m³: 4.16
Distance to the lowest polymorph of the same formula in meV/atom: 12
Symmetry: Pca2_1, No. 29



This record from OQMD describes crystalline NaZnNO at its relaxed geometry. The functional is PBE-GGA.

POSCAR file:
```
NaZnNO
1.0
4.493 0.000 0.000
0.000 8.715 0.000
0.000 0.000 4.486
Na Zn N O
4 4 4 4
Cartesian
0.003 1.004 0.000
2.244 1.004 2.243
2.250 7.711 0.000
4.490 7.711 2.243
0.005 5.515 0.005
2.242 5.515 2.248
2.251 3.200 0.005
4.489 3.200 2.248
0.004 3.571 0.007
2.243 3.571 2.250
2.251 5.144 0.007
4.490 5.144 2.250
0.005 7.352 0.001
2.242 7.352 2.243
2.252 1.363 0.001
4.488 1.363 2.243
```

Calculated density in Mg/m³: 4.48
Distance to the lowest polymorph of the same formula in meV/atom: 0
Symmetry: Pca2_1, No. 29



This record from OQMD describes crystalline NaZnNO at its relaxed geometry. The functional is PBE-GGA.

POSCAR file:
```
NaZnNO
1.0
4.036 0.000 0.000
0.000 4.036 0.000
0.000 0.000 6.998
Na Zn N O
2 2 2 2
Cartesian
1.009 3.027 0.000
3.027 1.009 0.000
1.009 1.009 2.925
3.027 3.027 4.073
1.009 1.009 1.021
3.027 3.027 5.977
1.009 3.027 3.499
3.027 1.009 3.499
```

Calculated density in Mg/m³: 3.45
Distance to the lowest polymorph of the same formula in meV/atom: 368
Symmetry: P4/nmm, No. 129



This record from OQMD describes crystalline NaZnNO at its relaxed geometry. The functional is PBE-GGA.

POSCAR file:
```
NaZnNO
1.0
3.246 0.000 0.000
0.000 6.289 0.000
0.000 0.000 5.033
Na Zn N O
2 2 2 2
Cartesian
0.000 1.568 0.000
0.000 4.721 2.516
1.623 1.641 2.487
1.623 4.647 5.003
1.623 3.108 3.774
1.623 3.180 1.258
0.000 0.683 2.389
0.000 5.605 4.905
```

Calculated density in Mg/m³: 3.83
Distance to the lowest polymorph of the same formula in meV/atom: 91
Symmetry: Pmc2_1, No. 26



This record from OQMD describes crystalline NaOs3N5 at its relaxed geometry. The functional is PBE-GGA.

POSCAR file:
```
NaOs3N5
1.0
5.175 0.000 0.000
-2.587 4.481 0.000
0.000 0.000 5.219
Na Os N
1 3 5
Cartesian
0.000 0.000 0.000
-1.294 2.241 2.609
2.587 0.000 2.609
1.294 2.241 2.609
0.000 0.000 2.609
0.000 2.988 1.276
0.000 2.988 3.943
2.587 1.494 1.276
2.587 1.494 3.943
```

Raw total energy in eV/cell: -65.9
Calculated density in Mg/m³: 9.11
Symmetry: P6/mmm, No. 191



This record from OQMD describes crystalline Na2TaPN4 at its relaxed geometry. The functional is PBE-GGA.

POSCAR file:
```
Na2TaPN4
1.0
-2.588 2.588 3.988
2.588 -2.588 3.988
2.588 2.588 -3.988
Na Ta P N
2 1 1 4
Cartesian
0.000 0.000 0.000
0.000 2.588 1.994
2.588 0.000 1.994
0.000 0.000 3.988
1.150 -0.735 3.062
1.853 1.438 0.926
1.438 3.323 -0.926
0.735 1.150 4.915
```

Raw total energy in eV/cell: -59.2
Calculated density in Mg/m³: 4.88
Symmetry: I-4, No. 82



Q: Look up the calculated density of the sixth one.
A: 4.88 Mg/m³